Computed, not measured: a relaxed CaSi2Pb crystal at the PBE-GGA level of DFT.

Properties
- density (g/cm3) = 5.55
- E_tot (eV for the cell shown) = -16.33
- energy relative to the elements, uncorrected (kcal/mol of atoms) = 1.3

Geometry as CIF:
```
data_CaSi2Pb
_cell_length_a 3.538
_cell_length_b 3.538
_cell_length_c 7.257
_cell_angle_alpha 90.00
_cell_angle_beta 90.00
_cell_angle_gamma 90.00
_space_group_name_H-M_alt 'P 4 m m'
_space_group_IT_number 99
loop_
_space_group_symop_operation_xyz
'x,y,z'
'-y,x,z'
'-x,-y,z'
'y,-x,z'
'-x,y,z'
'y,x,z'
'x,-y,z'
'-y,-x,z'
loop_
_atom_site_label
_atom_site_type_symbol
_atom_site_fract_x
_atom_site_fract_y
_atom_site_fract_z
_atom_site_occupancy
Ca1 Ca 0.000 0.000 0.000 1
Si1 Si 0.000 0.000 0.602 1
Si2 Si 0.500 0.500 0.731 1
Pb1 Pb 0.500 0.500 0.334 1
```